Density functional theory data (PBE) for crystalline K2LiYCl6 at its relaxed geometry.

The structure belongs to space group Fm-3m (No. 225); the cell edges are 10.385, 10.385 and 10.385 Å and the angles 90.00°, 90.00° and 90.00°. Symmetry generates all atoms from K at (0.250, 0.250, 0.250), Li at (0.000, 0.000, 0.000), Y at (0.000, 0.000, 0.500) and Cl at (0.000, 0.000, 0.247).

The uncorrected formation energy comes out at -2.067 eV per atom. The calculation puts the energy at -4.232 eV/atom.

Density functional theory data (PBE) for crystalline K2TcIr at its relaxed geometry.

The structure belongs to space group P4/mmm (No. 123); the cell edges are 2.706, 2.706 and 11.316 Å and the angles 90.00°, 90.00° and 90.00°. Symmetry generates all atoms from K at (0.000, 0.000, 0.241), Tc at (0.500, 0.500, 0.500) and Ir at (0.500, 0.500, 0.000).

The calculation puts the energy at -4.213 eV/atom. As for the energy above the most stable polymorph in this dataset: 613.3 meV per atom. The energy of formation comes out at 110 kJ per mole of atoms.

Density functional theory data (PBE) for crystalline MnGePN at its relaxed geometry.

The structure belongs to space group Cm (No. 8); the cell edges are 8.351, 2.855 and 5.103 Å and the angles 90.00°, 123.59° and 90.00°. Symmetry generates all atoms from Mn at (0.000, 0.000, 0.000), Ge at (0.327, 0.000, 0.494), P at (0.230, 0.000, 0.887) and N at (0.456, 0.000, 0.221).

The uncorrected formation energy comes out at 0.143 eV per atom. The calculation puts the energy at -6.738 eV/atom. As for the energy above the most stable polymorph in this dataset: 152.8 meV per atom.